Material: NpInGa4
Method: DFT, GGA-PBE
State: relaxed

```
NpInGa4
1.0
0.000 3.944 3.944
3.944 0.000 3.944
3.944 3.944 0.000
Np In Ga
1 1 4
Cartesian
0.000 0.000 0.000
5.915 5.915 5.915
2.953 2.953 2.953
4.934 4.934 2.953
4.934 2.953 4.934
2.953 4.934 4.934
```

volume = 20.4 Å³ per atom
electronic total energy = -4.595 eV/atom